The following is a GGA-PBE calculation of a relaxed structure of TbGdSn, from the Alexandria database.

Geometry as extended XYZ:
```
3
Lattice="3.7945 0.0000 0.0000 0.0000 5.1609 0.0000 0.0000 -2.5804 4.4695" Properties=species:S:1:pos:R:3 pbc="T T T"
Gd 1.4524 0.0000 2.9796
Tb 3.5670 0.0000 0.0000
Sn 2.5696 2.5804 1.4898
```

Calculated values
ΔE_f ... -0.367 eV/atom
Space group ... No. 156
Calculated total energy ... -7.938 eV/atom
Offset from the most stable computed form ... 114 meV/atom